Entry 1:
This record from Alexandria describes NaBC at its PBEsol-relaxed geometry. The functional is SCAN.

Its crystal system is hexagonal.

It has space group P6_3/mmc (No. 194), with a = 2.8086 Å, b = 2.8086 Å, c = 8.3073 Å, α = 90.00°, β = 90.00° and γ = 120.00°. The asymmetric unit holds Na at (0.0000, 0.0000, 0.0000), B at (0.3333, 0.6667, 0.2500) and C at (0.3333, 0.6667, 0.7500).

=====

Entry 2:
This record from Alexandria describes Nb7B6C3 at its PBEsol-relaxed geometry. The functional is SCAN.

Its crystal system is orthorhombic.

It has space group Cmmm (No. 65), with a = 3.129 Å, b = 33.157 Å, c = 3.237 Å, α = 90.00°, β = 90.00° and γ = 90.00°. The asymmetric unit holds Nb at (0.000, 0.000, 0.000), Nb at (0.000, 0.131, 0.000), Nb at (0.000, 0.291, 0.000), Nb at (0.000, 0.433, 0.500), B at (0.000, 0.182, 0.500), B at (0.000, 0.237, 0.500), B at (0.000, 0.348, 0.500), C at (0.000, 0.066, 0.000) and C at (0.000, 0.500, 0.500).

=====

Entry 3:
This record from Alexandria describes Nb4B3C2 at its PBEsol-relaxed geometry. The functional is SCAN.

Its crystal system is orthorhombic.

It has space group Cmcm (No. 63), with a = 3.230 Å, b = 37.627 Å, c = 3.133 Å, α = 90.00°, β = 90.00° and γ = 90.00°. The asymmetric unit holds Nb at (0.000, 0.036, 0.250), Nb at (0.000, 0.105, 0.750), Nb at (0.000, 0.220, 0.750), Nb at (0.000, 0.338, 0.750), B at (0.000, 0.414, 0.750), B at (0.000, 0.440, 0.250), B at (0.000, 0.488, 0.250), C at (0.000, 0.162, 0.750) and C at (0.000, 0.280, 0.750).

=====

Entry 4:
This record from Alexandria describes Nb3B3C at its PBEsol-relaxed geometry. The functional is SCAN.

Its crystal system is orthorhombic.

It has space group Cmcm (No. 63), with a = 3.251 Å, b = 28.718 Å, c = 3.125 Å, α = 90.00°, β = 90.00° and γ = 90.00°. The asymmetric unit holds Nb at (0.000, 0.047, 0.250), Nb at (0.000, 0.138, 0.750), Nb at (0.000, 0.287, 0.750), B at (0.000, 0.388, 0.750), B at (0.000, 0.421, 0.250), B at (0.000, 0.484, 0.250) and C at (0.000, 0.212, 0.750).

=====

| no. | spin magnetization (μB/f.u.) | VASP energy (eV per atom) |
| --- | --- | --- |
| 1 | 0.00 | -7.37 |
| 2 | 0.00 | -19.86 |
| 3 | 0.00 | -20.11 |
| 4 | 0.00 | -19.52 |